3
Lattice="3.3693 0.0000 0.0000 -1.6847 2.9179 0.0000 0.0000 0.0000 7.8804" Properties=species:S:1:pos:R:3 comment="GGA-PBE YZrCd, relaxed" de_polymorph_mev_per_atom=170 dft_energy_ev_per_atom=-5.31 spacegroup=P3m1 volume_a3_per_cell=77.5 ef_ev_per_atom=0.00 pbc="T T T"
Cd 0.0000 0.0000 7.8140
Y 1.6847 0.9726 2.6599
Zr 0.0000 1.9453 5.2868